# Sr2ZrCu

A relaxed Sr2ZrCu crystal (PBE, Alexandria).

Cell lengths 3.529, 3.531, 10.205 Å; angles 69.78, 90.00, 90.00 degrees
Fractional coordinates of all 4 atoms:
Sr 0.000 0.034 0.966
Sr 0.000 0.466 0.534
Cu 0.500 0.750 0.750
Zr 0.500 0.250 0.250

Values from the calculation:
SG: P4/mmm, No. 123
Excess energy over the best structure of this formula in the dataset, meV/atom: 176.6

# Sb2TePd9

A relaxed Sb2TePd9 crystal (PBE, Alexandria).

Cell lengths 4.057, 4.057, 12.313 Å; angles 90.00, 90.00, 90.00 degrees
Fractional coordinates of all 12 atoms:
Sb 0.000 0.000 0.668
Sb 0.000 0.000 0.332
Pd 0.500 0.000 0.500
Pd 0.500 0.500 0.662
Pd 0.500 0.000 0.174
Pd 0.000 0.500 0.174
Pd 0.500 0.000 0.826
Pd 0.500 0.500 0.000
Pd 0.500 0.500 0.338
Pd 0.000 0.500 0.826
Pd 0.000 0.500 0.500
Te 0.000 0.000 0.000

Values from the calculation:
E_form (uncorrected), eV/atom: -0.30
SG: P4/mmm, No. 123

# Sm3Tl2In3Rh

A relaxed Sm3Tl2In3Rh crystal (PBE, Alexandria).

Cell lengths 4.573, 7.610, 7.610 Å; angles 120.00, 90.00, 90.00 degrees
Fractional coordinates of all 9 atoms:
Rh 0.000 0.000 0.000
In 0.500 0.233 0.233
In 0.500 0.000 0.767
In 0.500 0.767 0.000
Tl 0.500 0.333 0.667
Tl 0.500 0.667 0.333
Sm 0.000 0.000 0.392
Sm 0.000 0.392 0.000
Sm 0.000 0.608 0.608

Values from the calculation:
SG: P-62m, No. 189

# ScFe2ReC

A relaxed ScFe2ReC crystal (PBE, Alexandria).

Cell lengths 3.947, 3.947, 4.098 Å; angles 90.00, 90.00, 90.00 degrees
Each line ends with the local moment (μB).
Fractional coordinates of all 5 atoms:
Sc 0.500 0.500 0.500  -0.15
Re 0.000 0.000 0.500  0.21
Fe 0.500 0.000 0.000  1.97
Fe 0.000 0.500 0.000  1.97
C 0.000 0.000 0.000  -0.06

Values from the calculation:
SG: P4/mmm, No. 123

# SrCa3Mg8

A relaxed SrCa3Mg8 crystal (PBE, Alexandria).

Cell lengths 6.272, 6.272, 10.867 Å; angles 73.23, 73.23, 60.00 degrees
Fractional coordinates of all 12 atoms:
Ca 0.499 0.499 0.504
Ca 0.001 0.001 0.997
Ca 0.375 0.375 0.875
Mg 0.688 0.688 0.937
Mg 0.187 0.187 0.439
Mg 0.438 0.940 0.184
Mg 0.435 0.937 0.691
Mg 0.438 0.438 0.184
Mg 0.940 0.438 0.184
Mg 0.937 0.937 0.691
Mg 0.937 0.435 0.691
Sr 0.875 0.875 0.374

Values from the calculation:
SG: R3m, No. 160

# TaInAu2

A relaxed TaInAu2 crystal (PBE, Alexandria).

Cell lengths 4.095, 4.288, 4.288 Å; angles 90.00, 90.00, 90.00 degrees
Fractional coordinates of all 4 atoms:
In 0.500 0.500 0.000
Au 0.000 0.000 0.000
Au 0.000 0.500 0.500
Ta 0.500 0.000 0.500

Values from the calculation:
SG: P4/mmm, No. 123

# Li2TmPb7

A relaxed Li2TmPb7 crystal (PBE, Alexandria).

Cell lengths 4.847, 4.847, 12.257 Å; angles 101.40, 101.40, 90.00 degrees
Fractional coordinates of all 10 atoms:
Pb 0.396 0.896 0.792
Pb 0.500 0.500 0.000
Pb 0.104 0.604 0.208
Pb 0.250 0.750 0.500
Pb 0.604 0.104 0.208
Pb 0.896 0.396 0.792
Pb 0.750 0.250 0.500
Li 0.679 0.679 0.357
Li 0.321 0.321 0.643
Tm 0.000 0.000 0.000

Values from the calculation:
SG: I4/mmm, No. 139

# La2TeBr

A relaxed La2TeBr crystal (PBE, Alexandria).

Cell lengths 4.528, 4.528, 7.518 Å; angles 72.67, 72.67, 59.65 degrees
Fractional coordinates of all 4 atoms:
Te 0.750 0.750 0.750
Br 0.250 0.250 0.250
La 0.996 0.996 0.012
La 0.504 0.504 0.488

Values from the calculation:
E_form (uncorrected), eV/atom: -1.42
SG: C2/m, No. 12
Excess energy over the best structure of this formula in the dataset, meV/atom: 0.0

# Cs2Se2Cl

A relaxed Cs2Se2Cl crystal (PBE, Alexandria).

Cell lengths 5.084, 10.563, 11.473 Å; angles 132.00, 90.00, 103.92 degrees
Fractional coordinates of all 10 atoms:
Se 0.214 0.429 0.921
Se 0.946 0.892 0.343
Se 0.054 0.108 0.657
Se 0.786 0.571 0.079
Cl 0.344 0.688 0.724
Cl 0.656 0.312 0.276
Cs 0.303 0.606 0.372
Cs 0.557 0.114 0.889
Cs 0.697 0.394 0.628
Cs 0.443 0.886 0.111

Values from the calculation:
E_form (uncorrected), eV/atom: -1.16
SG: C2/m, No. 12
Excess energy over the best structure of this formula in the dataset, meV/atom: 0.0

# MnCr2OsC

A relaxed MnCr2OsC crystal (PBE, Alexandria).

Cell lengths 3.840, 3.840, 3.781 Å; angles 90.00, 90.00, 90.00 degrees
Each line ends with the local moment (μB).
Fractional coordinates of all 5 atoms:
Mn 0.000 0.000 0.500  1.44
Cr 0.500 0.000 0.000  -0.48
Cr 0.000 0.500 0.000  -0.48
Os 0.500 0.500 0.500  0.01
C 0.000 0.000 0.000  -0.01

Values from the calculation:
SG: P4/mmm, No. 123

# Ba2Cd5Rh4

A relaxed Ba2Cd5Rh4 crystal (PBE, Alexandria).

Cell lengths 6.141, 7.603, 7.359 Å; angles 70.62, 65.34, 66.18 degrees
Fractional coordinates of all 11 atoms:
Cd 0.299 0.744 0.169
Cd 0.701 0.256 0.831
Cd 0.212 0.256 0.831
Cd 0.000 0.500 0.500
Cd 0.788 0.744 0.169
Rh 0.225 0.445 0.105
Rh 0.775 0.555 0.895
Rh 0.380 0.072 0.168
Rh 0.620 0.928 0.832
Ba 0.735 0.200 0.330
Ba 0.265 0.800 0.670

Values from the calculation:
SG: C2/m, No. 12
Excess energy over the best structure of this formula in the dataset, meV/atom: 0.0

# Be2TcAs

A relaxed Be2TcAs crystal (PBE, Alexandria).

Cell lengths 2.678, 2.678, 7.586 Å; angles 90.00, 90.00, 106.76 degrees
Fractional coordinates of all 4 atoms:
Be 0.000 0.000 0.475
Be 0.000 0.000 0.025
As 0.500 0.500 0.750
Tc 0.500 0.500 0.250

Values from the calculation:
SG: Cmmm, No. 65

# DyZnCd2

A relaxed DyZnCd2 crystal (PBE, Alexandria).

Cell lengths 3.470, 3.470, 7.413 Å; angles 90.00, 90.00, 90.00 degrees
Each line ends with the local moment (μB).
Fractional coordinates of all 4 atoms:
Cd 0.000 0.000 0.217  0.00
Cd 0.000 0.000 0.783  0.00
Dy 0.500 0.500 0.500  0.15
Zn 0.500 0.500 0.000  0.00

Values from the calculation:
SG: P4/mmm, No. 123

# CsK12Tl6

A relaxed CsK12Tl6 crystal (PBE, Alexandria).

Cell lengths 10.220, 10.220, 10.220 Å; angles 98.54, 98.54, 98.54 degrees
Fractional coordinates of all 19 atoms:
Tl 0.329 0.706 0.557
Tl 0.671 0.294 0.443
Tl 0.557 0.329 0.706
Tl 0.706 0.557 0.329
Tl 0.294 0.443 0.671
Tl 0.443 0.671 0.294
K 0.774 0.930 0.340
K 0.226 0.070 0.660
K 0.930 0.340 0.774
K 0.675 0.622 0.960
K 0.960 0.675 0.622
K 0.622 0.960 0.675
K 0.660 0.226 0.070
K 0.070 0.660 0.226
K 0.378 0.040 0.325
K 0.040 0.325 0.378
K 0.325 0.378 0.040
K 0.340 0.774 0.930
Cs 0.000 0.000 0.000

Values from the calculation:
SG: R-3, No. 148

# K2BeSiO4

A relaxed K2BeSiO4 crystal (PBE, Alexandria).

Cell lengths 4.448, 6.074, 10.033 Å; angles 85.34, 77.19, 68.52 degrees
Fractional coordinates of all 16 atoms:
O 0.879 0.658 0.587
O 0.124 0.342 0.413
O 0.287 0.842 0.087
O 0.871 0.842 0.913
O 0.216 0.158 0.913
O 0.463 0.658 0.413
O 0.534 0.342 0.587
O 0.626 0.158 0.087
K 0.172 0.000 0.656
K 0.578 0.500 0.844
K 0.922 0.500 0.156
K 0.828 0.000 0.344
Be 0.000 0.000 0.000
Be 0.750 0.500 0.500
Si 0.250 0.500 0.500
Si 0.500 0.000 0.000

Values from the calculation:
E_form (uncorrected), eV/atom: -2.38
SG: Fddd, No. 70

# CaRe2Ir

A relaxed CaRe2Ir crystal (PBE, Alexandria).

Cell lengths 4.279, 2.798, 6.055 Å; angles 75.16, 90.00, 90.00 degrees
Fractional coordinates of all 4 atoms:
Ca 0.000 0.460 0.505
Re 0.000 0.078 0.007
Re 0.500 0.172 0.203
Ir 0.500 0.790 0.785

Values from the calculation:
SG: Pm, No. 6
Excess energy over the best structure of this formula in the dataset, meV/atom: 119.3

# ScI3

A relaxed ScI3 crystal (PBE, Alexandria).

Cell lengths 3.805, 7.769, 7.673 Å; angles 120.41, 104.36, 90.00 degrees
Fractional coordinates of all 4 atoms:
I 0.348 0.747 0.697
I 0.652 0.051 0.303
I 0.500 0.327 0.000
Sc 0.000 0.042 0.000

Values from the calculation:
E_form (uncorrected), eV/atom: -1.17
SG: Imm2, No. 44

# Y4CuRu2

A relaxed Y4CuRu2 crystal (PBE, Alexandria).

Cell lengths 4.842, 4.842, 8.336 Å; angles 73.11, 73.11, 60.00 degrees
Fractional coordinates of all 7 atoms:
Y 0.378 0.378 0.867
Y 0.127 0.127 0.619
Y 0.622 0.622 0.133
Y 0.873 0.873 0.381
Ru 0.252 0.252 0.243
Ru 0.748 0.748 0.757
Cu 0.000 0.000 0.000

Values from the calculation:
SG: R-3m, No. 166
Excess energy over the best structure of this formula in the dataset, meV/atom: 0.0

# Nd2ZrTl3Se6

A relaxed Nd2ZrTl3Se6 crystal (PBE, Alexandria).

Cell lengths 7.208, 7.208, 8.200 Å; angles 98.43, 98.43, 119.94 degrees
Fractional coordinates of all 12 atoms:
Se 0.069 0.380 0.207
Se 0.240 0.240 0.787
Se 0.760 0.760 0.213
Se 0.380 0.069 0.207
Se 0.931 0.620 0.793
Se 0.620 0.931 0.793
Tl 0.173 0.827 0.500
Tl 0.500 0.500 0.500
Tl 0.827 0.173 0.500
Zr 0.000 0.000 0.000
Nd 0.334 0.666 0.000
Nd 0.666 0.334 0.000

Values from the calculation:
E_form (uncorrected), eV/atom: -1.21
SG: C2/m, No. 12

# NdSm15In4

A relaxed NdSm15In4 crystal (PBE, Alexandria).

Cell lengths 4.944, 4.944, 25.239 Å; angles 90.00, 90.00, 90.00 degrees
Fractional coordinates of all 20 atoms:
In 0.000 0.000 0.598
In 0.000 0.000 0.794
In 0.000 0.000 0.206
In 0.000 0.000 0.402
Sm 0.500 0.500 0.206
Sm 0.000 0.500 0.107
Sm 0.500 0.500 0.598
Sm 0.500 0.000 0.893
Sm 0.500 0.000 0.304
Sm 0.500 0.500 0.794
Sm 0.000 0.500 0.893
Sm 0.000 0.500 0.304
Sm 0.500 0.500 0.000
Sm 0.500 0.000 0.696
Sm 0.500 0.000 0.107
Sm 0.000 0.500 0.696
Sm 0.500 0.500 0.402
Sm 0.500 0.000 0.500
Sm 0.000 0.500 0.500
Nd 0.000 0.000 0.000

Values from the calculation:
SG: P4/mmm, No. 123

| no. | DFT total energy (eV/f.u.) |
| --- | --- |
| 1 | -14.514 |
| 2 | -61.695 |
| 3 | -39.102 |
| 4 | -45.282 |
| 5 | -21.763 |
| 6 | -20.729 |
| 7 | -35.636 |
| 8 | -20.359 |
| 9 | -16.317 |
| 10 | -48.571 |
| 11 | -39.316 |
| 12 | -21.340 |
| 13 | -8.247 |
| 14 | -28.204 |
| 15 | -50.202 |
| 16 | -34.328 |
| 17 | -15.658 |
| 18 | -50.582 |
| 19 | -60.628 |
| 20 | -90.624 |